First-principles (PBE-GGA) data for a relaxed structure of Cs4HgIr2, as listed in Alexandria via LeMat-Bulk.

Calculated values
Total DFT energy (no corrections) = -2.365 eV per atom
E_form = 4.9 eV/f.u.
D(E_F) = 11.90 states/eV/cell

Unit cell a=6.919 b=6.919 c=9.102 alpha=67.66 beta=67.66 gamma=90.00
Atoms (fractional coordinates):
Cs: 0.754 0.754 0.492
Cs: 0.246 0.246 0.508
Cs: 0.000 0.500 0.000
Cs: 0.500 0.000 0.000
Ir: 0.578 0.578 0.843
Ir: 0.422 0.422 0.157
Hg: 0.000 0.000 0.000